No. 1
! GGA-PBE Tl2CuOs, relaxed; values from VASP
! - D(E_F) (states/eV per atom) = 0.720
! - E_form (eV per atom) = 0.668
! - crystal system = tetragonal
&SYSTEM
  ibrav = 0, nat = 4, ntyp = 3
/
ATOMIC_SPECIES
Tl 204.38 Tl.upf
Cu 63.55 Cu.upf
Os 190.23 Os.upf
CELL_PARAMETERS angstrom
3.2760 0.0000 0.0000
0.0000 3.2760 0.0000
0.0000 0.0000 7.7132
ATOMIC_POSITIONS angstrom
Tl 0.0000 0.0000 0.0000
Tl 1.6380 1.6380 2.7573
Cu 0.0000 0.0000 4.7512
Os 1.6380 1.6380 5.7536



No. 2
! GGA-PBE TlCu2Os, relaxed; values from VASP
! - D(E_F) (states/eV per atom) = 0.682
! - E_form (eV per atom) = 0.631
! - crystal system = orthorhombic
&SYSTEM
  ibrav = 0, nat = 8, ntyp = 3
/
ATOMIC_SPECIES
Tl 204.38 Tl.upf
Cu 63.55 Cu.upf
Os 190.23 Os.upf
CELL_PARAMETERS angstrom
4.2409 0.0000 0.0000
0.0000 2.7732 0.0000
0.0000 0.0000 10.5179
ATOMIC_POSITIONS angstrom
Tl 0.0000 0.0000 0.0000
Tl 0.0000 1.3866 5.2589
Cu 0.0000 0.0000 7.8635
Cu 0.0000 1.3866 2.6046
Cu 2.1205 0.0000 6.5463
Cu 2.1205 1.3866 1.2874
Os 2.1205 0.0000 3.5896
Os 2.1205 1.3866 8.8485



No. 3
! GGA-PBE TlV2CuOs, relaxed; values from VASP
! - D(E_F) (states/eV per atom) = 1.265
! - E_form (eV per atom) = 1.284
! - crystal system = tetragonal
&SYSTEM
  ibrav = 0, nat = 5, ntyp = 4
/
ATOMIC_SPECIES
Tl 204.38 Tl.upf
V 50.94 V.upf
Cu 63.55 Cu.upf
Os 190.23 Os.upf
CELL_PARAMETERS angstrom
4.3941 0.0000 0.0000
0.0000 4.3941 0.0000
0.0000 0.0000 4.5910
ATOMIC_POSITIONS angstrom
Tl 0.0000 0.0000 0.0000
V 0.0000 2.1971 2.2955
V 2.1971 0.0000 2.2955
Cu 2.1971 2.1971 2.2955
Os 2.1971 2.1971 0.0000



No. 4
! GGA-PBE Tl2CuOsW, relaxed; values from VASP
! - D(E_F) (states/eV per atom) = 0.849
! - E_form (eV per atom) = 1.946
! - crystal system = tetragonal
&SYSTEM
  ibrav = 0, nat = 5, ntyp = 4
/
ATOMIC_SPECIES
Tl 204.38 Tl.upf
Cu 63.55 Cu.upf
Os 190.23 Os.upf
W 183.84 W.upf
CELL_PARAMETERS angstrom
4.7774 0.0000 0.0000
0.0000 4.7774 0.0000
0.0000 0.0000 4.7229
ATOMIC_POSITIONS angstrom
Tl 0.0000 2.3887 0.0000
Tl 2.3887 0.0000 0.0000
Cu 0.0000 0.0000 0.0000
Os 0.0000 0.0000 2.3614
W 2.3887 2.3887 2.3614



No. 5
! GGA-PBE TlZn2CuOs, relaxed; values from VASP
! - D(E_F) (states/eV per atom) = 0.684
! - E_form (eV per atom) = 0.924
! - crystal system = tetragonal
&SYSTEM
  ibrav = 0, nat = 5, ntyp = 4
/
ATOMIC_SPECIES
Tl 204.38 Tl.upf
Zn 65.41 Zn.upf
Cu 63.55 Cu.upf
Os 190.23 Os.upf
CELL_PARAMETERS angstrom
4.8309 0.0000 0.0000
0.0000 4.8309 0.0000
0.0000 0.0000 5.2039
ATOMIC_POSITIONS angstrom
Tl 0.0000 0.0000 0.0000
Zn 0.0000 2.4154 2.6020
Zn 2.4154 0.0000 2.6020
Cu 2.4154 2.4154 0.0000
Os 0.0000 0.0000 2.6020



No. 6
! GGA-PBE Tm3CuOs, relaxed; values from VASP
! - D(E_F) (states/eV per atom) = 0.804
! - E_form (eV per atom) = -0.258
! - crystal system = orthorhombic
&SYSTEM
  ibrav = 0, nat = 10, ntyp = 3
/
ATOMIC_SPECIES
Tm 168.93 Tm.upf
Cu 63.55 Cu.upf
Os 190.23 Os.upf
CELL_PARAMETERS angstrom
4.2453 0.0000 0.0000
0.0000 8.5733 0.0000
0.0000 0.0000 6.2210
ATOMIC_POSITIONS angstrom
Tm 1.0613 0.4657 1.3544
Tm 1.0613 2.1433 4.5732
Tm 1.0613 3.8210 1.3544
Tm 3.1840 4.7524 4.8666
Tm 3.1840 6.4300 1.6478
Tm 3.1840 8.1076 4.8666
Cu 1.0613 6.4300 3.4850
Cu 3.1840 2.1433 2.7360
Os 1.0613 6.4300 6.0396
Os 3.1840 2.1433 0.1814



No. 7
! GGA-PBE Tm2CuOs, relaxed; values from VASP
! - D(E_F) (states/eV per atom) = 0.711
! - E_form (eV per atom) = -0.313
! - crystal system = tetragonal
&SYSTEM
  ibrav = 0, nat = 4, ntyp = 3
/
ATOMIC_SPECIES
Tm 168.93 Tm.upf
Cu 63.55 Cu.upf
Os 190.23 Os.upf
CELL_PARAMETERS angstrom
3.3674 0.0000 0.0000
0.0000 3.3674 0.0000
0.0000 0.0000 6.9341
ATOMIC_POSITIONS angstrom
Tm 0.0000 0.0000 1.6522
Tm 0.0000 0.0000 5.2819
Cu 1.6837 1.6837 3.4671
Os 1.6837 1.6837 0.0000



No. 8
! GGA-PBE Tm3CuOs, relaxed; values from VASP
! - D(E_F) (states/eV per atom) = 0.693
! - E_form (eV per atom) = -0.151
! - crystal system = triclinic
&SYSTEM
  ibrav = 0, nat = 10, ntyp = 3
/
ATOMIC_SPECIES
Tm 168.93 Tm.upf
Cu 63.55 Cu.upf
Os 190.23 Os.upf
CELL_PARAMETERS angstrom
3.5398 0.0000 0.0000
0.0101 7.8370 0.0000
0.0036 3.6393 8.2575
ATOMIC_POSITIONS angstrom
Tm 0.0000 0.0000 0.0000
Tm 0.0024 1.5031 2.9610
Tm 3.5469 6.8570 4.8466
Tm 0.0112 4.9579 2.1283
Tm 1.7797 3.7549 5.0256
Tm 1.7891 8.4979 7.4888
Cu 1.7671 5.7304 6.9842
Cu 1.7697 2.6155 1.1024
Os 0.0203 9.6900 5.8327
Os 1.7809 7.1555 2.3430



No. 9
! GGA-PBE Tm6Cu5Os, relaxed; values from VASP
! - D(E_F) (states/eV per atom) = 0.724
! - E_form (eV per atom) = -0.306
! - crystal system = orthorhombic
&SYSTEM
  ibrav = 0, nat = 12, ntyp = 3
/
ATOMIC_SPECIES
Tm 168.93 Tm.upf
Cu 63.55 Cu.upf
Os 190.23 Os.upf
CELL_PARAMETERS angstrom
-2.4136 3.4138 7.2275
2.4136 -3.4138 7.2275
2.4136 3.4138 -7.2275
ATOMIC_POSITIONS angstrom
Tm 2.4136 1.6798 -2.3699
Tm 0.0000 1.6593 0.0000
Tm 2.4136 1.6798 2.3699
Tm 0.0000 1.7341 4.8577
Tm 0.0000 5.1683 0.0000
Tm 0.0000 1.7341 9.5974
Cu 0.0000 0.0000 2.4002
Cu 2.4136 0.0000 4.8374
Cu 0.0000 0.0000 7.2275
Cu 0.0000 3.4138 2.3901
Cu 0.0000 0.0000 12.0549
Os 2.4136 0.0000 0.0000



No. 10
! GGA-PBE Tm2CuOs, relaxed; values from VASP
! - D(E_F) (states/eV per atom) = 0.656
! - E_form (eV per atom) = 0.409
! - crystal system = trigonal
&SYSTEM
  ibrav = 0, nat = 12, ntyp = 3
/
ATOMIC_SPECIES
Tm 168.93 Tm.upf
Cu 63.55 Cu.upf
Os 190.23 Os.upf
CELL_PARAMETERS angstrom
3.2558 0.0000 0.0000
-1.6279 2.8196 0.0000
0.0000 0.0000 29.0577
ATOMIC_POSITIONS angstrom
Tm 0.0000 0.0000 2.7702
Tm 0.0000 0.0000 26.2875
Tm 0.0000 1.8797 16.6016
Tm 0.0000 1.8797 22.1419
Tm 1.6279 0.9399 6.9157
Tm 1.6279 0.9399 12.4561
Cu 0.0000 0.0000 0.0000
Cu 0.0000 1.8797 19.3718
Cu 1.6279 0.9399 9.6859
Os 0.0000 0.0000 14.5288
Os 0.0000 1.8797 4.8430
Os 1.6279 0.9399 24.2147



No. 11
! GGA-PBE TmCuOs, relaxed; values from VASP
! - D(E_F) (states/eV per atom) = 0.563
! - E_form (eV per atom) = -0.308
! - crystal system = orthorhombic
&SYSTEM
  ibrav = 0, nat = 12, ntyp = 3
/
ATOMIC_SPECIES
Tm 168.93 Tm.upf
Cu 63.55 Cu.upf
Os 190.23 Os.upf
CELL_PARAMETERS angstrom
5.1072 0.0000 0.0000
0.0000 5.1545 0.0000
0.0000 0.0000 7.7471
ATOMIC_POSITIONS angstrom
Tm 0.0000 1.2886 1.0002
Tm 0.0000 3.8659 6.7469
Tm 2.5536 1.2886 2.8733
Tm 2.5536 3.8659 4.8738
Cu 1.2768 1.2886 5.8103
Cu 1.2768 3.8659 1.9368
Cu 3.8304 1.2886 5.8103
Cu 3.8304 3.8659 1.9368
Os 0.0000 0.0000 3.8735
Os 0.0000 2.5772 3.8735
Os 2.5536 0.0000 0.0000
Os 2.5536 2.5772 0.0000



No. 12
! GGA-PBE Tm2CuOs, relaxed; values from VASP
! - D(E_F) (states/eV per atom) = 0.448
! - E_form (eV per atom) = -0.332
! - crystal system = cubic
&SYSTEM
  ibrav = 0, nat = 16, ntyp = 3
/
ATOMIC_SPECIES
Tm 168.93 Tm.upf
Cu 63.55 Cu.upf
Os 190.23 Os.upf
CELL_PARAMETERS angstrom
6.7678 0.0000 0.0000
0.0000 6.7678 0.0000
0.0000 0.0000 6.7678
ATOMIC_POSITIONS angstrom
Tm 1.6920 1.6920 1.6920
Tm 1.6920 1.6920 5.0759
Tm 1.6920 5.0759 1.6920
Tm 1.6920 5.0759 5.0759
Tm 5.0759 1.6920 1.6920
Tm 5.0759 1.6920 5.0759
Tm 5.0759 5.0759 1.6920
Tm 5.0759 5.0759 5.0759
Cu 0.0000 0.0000 0.0000
Cu 0.0000 3.3839 3.3839
Cu 3.3839 0.0000 3.3839
Cu 3.3839 3.3839 0.0000
Os 0.0000 0.0000 3.3839
Os 0.0000 3.3839 0.0000
Os 3.3839 0.0000 0.0000
Os 3.3839 3.3839 3.3839



No. 13
! GGA-PBE Tm4Cu3Os, relaxed; values from VASP
! - D(E_F) (states/eV per atom) = 0.579
! - E_form (eV per atom) = -0.304
! - crystal system = tetragonal
&SYSTEM
  ibrav = 0, nat = 8, ntyp = 3
/
ATOMIC_SPECIES
Tm 168.93 Tm.upf
Cu 63.55 Cu.upf
Os 190.23 Os.upf
CELL_PARAMETERS angstrom
3.3852 0.0000 0.0000
0.0000 3.3852 0.0000
0.0000 0.0000 13.8122
ATOMIC_POSITIONS angstrom
Tm 0.0000 0.0000 1.6451
Tm 0.0000 0.0000 5.1594
Tm 0.0000 0.0000 8.6528
Tm 0.0000 0.0000 12.1671
Cu 1.6926 1.6926 3.4697
Cu 1.6926 1.6926 6.9061
Cu 1.6926 1.6926 10.3425
Os 1.6926 1.6926 0.0000



No. 14
! GGA-PBE Tm4ZnCu2Os, relaxed; values from VASP
! - D(E_F) (states/eV per atom) = 0.602
! - E_form (eV per atom) = -0.338
! - crystal system = trigonal
&SYSTEM
  ibrav = 0, nat = 8, ntyp = 4
/
ATOMIC_SPECIES
Tm 168.93 Tm.upf
Zn 65.41 Zn.upf
Cu 63.55 Cu.upf
Os 190.23 Os.upf
CELL_PARAMETERS angstrom
2.4284 1.4020 7.9147
-2.4284 1.4020 7.9147
0.0000 -2.8040 7.9147
ATOMIC_POSITIONS angstrom
Tm 0.0000 0.0000 2.8548
Tm 0.0000 0.0000 8.8015
Tm 0.0000 0.0000 14.9426
Tm 0.0000 0.0000 20.8893
Zn 0.0000 0.0000 11.8720
Cu 0.0000 0.0000 5.8570
Cu 0.0000 0.0000 17.8871
Os 0.0000 0.0000 0.0000